# PBE+U NaV2CF, optimized geometry
# magnetization	1.200	μB/atom
# calculated total energy	-0.1764	Ha/atom
data_NaV2CF
_symmetry_space_group_name_H-M 'P 4/m m m'
_symmetry_Int_Tables_number 123
_symmetry_space_group_name_Hall '-P 4 2'
_cell_length_a 4.2579
_cell_length_b 4.2579
_cell_length_c 3.9904
_cell_angle_alpha 90.00
_cell_angle_beta 90.00
_cell_angle_gamma 90.00
loop_
_atom_site_label
_atom_site_type_symbol
_atom_site_fract_x
_atom_site_fract_y
_atom_site_fract_z
_atom_site_occupancy
Na1 Na 0.0000 0.0000 0.0000 1
V1 V 0.0000 0.5000 0.5000 1
C1 C 0.5000 0.5000 0.0000 1
F1 F 0.0000 0.0000 0.5000 1